Record 1
DFT (PBE) results for NdDyOs after structural relaxation.

Unit cell a=3.4417 b=3.4417 c=7.2030 alpha=103.82 beta=103.82 gamma=90.00
Element x y z (fractional)
Dy: 0.2893 0.2893 0.5785
Nd: 0.0403 0.0403 0.0807
Os: 0.6704 0.6704 0.3408

Output
energy of formation from the pure elements	-124.4	meV/atom
energy above the lowest structure with this stoichiometry	0	meV per atom
raw total energy	-6.9909	eV per atom

Record 2
DFT (PBE) results for Nd2DyOs after structural relaxation.

Unit cell a=6.4645 b=7.4572 c=9.5072 alpha=90.00 beta=90.00 gamma=90.00
Element x y z (fractional)
Dy: 0.3588 0.4568 0.7500
Os: 0.9636 0.6160 0.7500
Os: 0.4636 0.8840 0.2500
Dy: 0.8588 0.0432 0.2500
Dy: 0.1412 0.9568 0.7500
Os: 0.0364 0.3840 0.2500
Nd: 0.1711 0.6757 0.4355
Nd: 0.3289 0.1757 0.4355
Nd: 0.8289 0.3243 0.9355
Nd: 0.6711 0.8243 0.9355
Nd: 0.3289 0.1757 0.0645
Nd: 0.1711 0.6757 0.0645
Nd: 0.6711 0.8243 0.5645
Dy: 0.6412 0.5432 0.2500
Nd: 0.8289 0.3243 0.5645
Os: 0.5364 0.1160 0.7500

Output
energy of formation from the pure elements	-142.8	meV/atom
energy above the lowest structure with this stoichiometry	0	meV per atom
raw total energy	-6.4847	eV per atom

Record 3
DFT (PBE) results for NdDyOsPd after structural relaxation.

Unit cell a=4.9606 b=4.9606 c=4.9606 alpha=60.00 beta=60.00 gamma=60.00
Element x y z (fractional)
Os: 0.0000 0.0000 0.0000
Dy: 0.2500 0.2500 0.2500
Nd: 0.7500 0.7500 0.7500
Pd: 0.5000 0.5000 0.5000

Output
energy of formation from the pure elements	-415.6	meV/atom
raw total energy	-6.8637	eV per atom

Record 4
DFT (PBE) results for NdDyOsRh after structural relaxation.

Unit cell a=4.9148 b=4.9148 c=4.9148 alpha=60.00 beta=60.00 gamma=60.00
Element x y z (fractional)
Nd: 0.7500 0.7500 0.7500
Os: 0.5000 0.5000 0.5000
Dy: 0.2500 0.2500 0.2500
Rh: 0.0000 0.0000 0.0000

Output
energy of formation from the pure elements	-320.7	meV/atom
raw total energy	-7.3084	eV per atom